1.
BiHPd: relaxed, PBE-GGA.

## Properties
- crystal system = monoclinic
- magnetization (μB/f.u.) = 0.00
- final energy (eV per cell) = -50.40
- ρ (g cm⁻³) = 8.5

Geometry as CIF:
```
data_BiHPd
_chemical_formula_sum 'Bi4 H4 Pd4'
_symmetry_space_group_name_H-M 'C 1 2/m 1'
_symmetry_Int_Tables_number 12
_symmetry_space_group_name_Hall '-C 2y'
_cell_length_a 17.572
_cell_length_b 4.565
_cell_length_c 3.145
_cell_angle_alpha 90.00
_cell_angle_beta 100.25
_cell_angle_gamma 90.00
loop_
_atom_site_label
_atom_site_type_symbol
_atom_site_fract_x
_atom_site_fract_y
_atom_site_fract_z
Bi1 Bi 0.135 0.000 0.132
H1 H 0.022 0.500 0.521
Pd1 Pd 0.224 0.500 0.225
```

2.
BiHPd2: relaxed, PBE-GGA.

## Properties
- crystal system = tetragonal
- magnetization (μB/f.u.) = 0.00
- final energy (eV per cell) = -73.23
- ρ (g cm⁻³) = 11.2

Geometry as CIF:
```
data_BiHPd2
_chemical_formula_sum 'Bi4 H4 Pd8'
_symmetry_space_group_name_H-M 'I -4 2 d'
_symmetry_Int_Tables_number 122
_symmetry_space_group_name_Hall 'I -4 2bw'
_cell_length_a 6.195
_cell_length_b 6.195
_cell_length_c 6.548
_cell_angle_alpha 90.00
_cell_angle_beta 90.00
_cell_angle_gamma 90.00
loop_
_atom_site_label
_atom_site_type_symbol
_atom_site_fract_x
_atom_site_fract_y
_atom_site_fract_z
Bi1 Bi 0.000 0.000 0.000
H1 H 0.000 0.000 0.500
Pd1 Pd 0.099 0.750 0.625
```

3.
BiHPd2: relaxed, PBE-GGA.

## Properties
- crystal system = cubic
- magnetization (μB/f.u.) = 0.00
- final energy (eV per cell) = -64.69
- ρ (g cm⁻³) = 10.6

Geometry as CIF:
```
data_BiHPd2
_chemical_formula_sum 'Bi4 H4 Pd8'
_symmetry_space_group_name_H-M 'F m -3 m'
_symmetry_Int_Tables_number 225
_symmetry_space_group_name_Hall '-F 4 2 3'
_cell_length_a 6.418
_cell_length_b 6.418
_cell_length_c 6.418
_cell_angle_alpha 90.00
_cell_angle_beta 90.00
_cell_angle_gamma 90.00
loop_
_atom_site_label
_atom_site_type_symbol
_atom_site_fract_x
_atom_site_fract_y
_atom_site_fract_z
Bi1 Bi 0.000 0.000 0.000
H1 H 0.000 0.000 0.500
Pd1 Pd 0.250 0.250 0.250
```

Energy relative to the lowest polymorph listed for this composition, record by record: 29.3; 0.0; 533.8 meV/atom